## CdFeIr2 (SCAN)

Data for a PBEsol-optimized structure of CdFeIr2.

a = 2.861 Å, b = 4.521 Å, c = 5.274 Å
α = 115.38°, β = 105.74°, γ = 90.00°
Each line ends with the local moment (μB).
Atoms (fractional coordinates):
Cd 0.508 0.508 0.017  -0.02
Fe 0.263 0.763 0.527  3.16
Ir 0.989 0.989 0.978  0.38
Ir 0.739 0.239 0.478  0.41

Energy of formation (eV/atom): 0.236